Computed, not measured: crystalline CsSbCl3 at its relaxed geometry at the GGA-PBEsol level of DFT.

Calculated values
ΔE_f (raw)   -1.1451 eV/atom

Unit cell a=5.4708 b=5.4708 c=5.4708 alpha=90.00 beta=90.00 gamma=90.00
Last column: nearest neighbours and their distance in Å.
Sites, in units of the cell vectors:
Cs1 0.0000 0.0000 0.0000  12 Cl 3.87
Sb1 0.5000 0.5000 0.5000  6 Cl 2.74
Cl1 0.0000 0.5000 0.5000  2 Sb 2.74
Cl2 0.5000 0.0000 0.5000  2 Sb 2.74
Cl3 0.5000 0.5000 0.0000  2 Sb 2.74